Entry 1:
A geometry-optimized Fe2CuSi structure. Source: Alexandria via LeMat-Bulk, functional PBE.

Summary:
- E_form (uncorrected) (meV per atom) = -126
- size of the total moment (μB per formula unit) = 4.272

Cell and atoms, written as CIF:
```
data_Fe2CuSi
_chemical_formula_sum 'Fe4 Cu2 Si2'
_space_group_name_H-M_alt 'I m m m'
_space_group_IT_number 71
_space_group_name_Hall '-I 2 2'
_cell_length_a 3.513
_cell_length_b 3.590
_cell_length_c 7.338
_cell_angle_alpha 90.00
_cell_angle_beta 90.00
_cell_angle_gamma 90.00
loop_
_atom_site_label
_atom_site_type_symbol
_atom_site_fract_x
_atom_site_fract_y
_atom_site_fract_z
Fe1 Fe 0.000 0.000 0.248
Cu1 Cu 0.000 0.500 0.000
Si1 Si 0.000 0.500 0.500
```

***

Entry 2:
A geometry-optimized Fe2CuSi structure. Source: Alexandria via LeMat-Bulk, functional PBE.

Summary:
- E_form (uncorrected) (meV per atom) = 276
- size of the total moment (μB per formula unit) = 4.391

Cell and atoms, written as CIF:
```
data_Fe2CuSi
_chemical_formula_sum 'Fe8 Cu4 Si4'
_space_group_name_H-M_alt 'I -4 2 d'
_space_group_IT_number 122
_space_group_name_Hall 'I -4 2bw'
_cell_length_a 3.469
_cell_length_b 3.469
_cell_length_c 17.074
_cell_angle_alpha 90.00
_cell_angle_beta 90.00
_cell_angle_gamma 90.00
loop_
_atom_site_label
_atom_site_type_symbol
_atom_site_fract_x
_atom_site_fract_y
_atom_site_fract_z
Fe1 Fe 0.237 0.250 0.125
Cu1 Cu 0.000 0.000 0.500
Si1 Si 0.000 0.000 0.000
```

***

Entry 3:
A geometry-optimized FeCuSi structure. Source: Alexandria via LeMat-Bulk, functional PBE.

Summary:
- E_form (uncorrected) (meV per atom) = 36
- size of the total moment (μB per formula unit) = 0.180

Cell and atoms, written as CIF:
```
data_FeCuSi
_chemical_formula_sum 'Fe4 Cu4 Si4'
_space_group_name_H-M_alt 'F -4 3 m'
_space_group_IT_number 216
_space_group_name_Hall 'F -4 2 3'
_cell_length_a 5.382
_cell_length_b 5.382
_cell_length_c 5.382
_cell_angle_alpha 90.00
_cell_angle_beta 90.00
_cell_angle_gamma 90.00
loop_
_atom_site_label
_atom_site_type_symbol
_atom_site_fract_x
_atom_site_fract_y
_atom_site_fract_z
Fe1 Fe 0.000 0.000 0.000
Cu1 Cu 0.000 0.000 0.500
Si1 Si 0.250 0.250 0.750
```

***

Entry 4:
A geometry-optimized TaFeCuSi structure. Source: Alexandria via LeMat-Bulk, functional PBE.

Summary:
- E_form (uncorrected) (meV per atom) = -125
- size of the total moment (μB per formula unit) = 2.134
- E above lowest polymorph (eV per atom) = 0.060

Cell and atoms, written as CIF:
```
data_TaFeCuSi
_chemical_formula_sum 'Ta1 Fe1 Cu1 Si1'
_space_group_name_H-M_alt 'P m m m'
_space_group_IT_number 47
_cell_length_a 3.635
_cell_length_b 3.857
_cell_length_c 3.879
_cell_angle_alpha 90.00
_cell_angle_beta 90.00
_cell_angle_gamma 90.00
loop_
_space_group_symop_operation_xyz
'x,y,z'
'-x,-y,-z'
'-x,-y,z'
'x,y,-z'
'x,-y,-z'
'-x,y,z'
'-x,y,-z'
'x,-y,z'
loop_
_atom_site_label
_atom_site_type_symbol
_atom_site_fract_x
_atom_site_fract_y
_atom_site_fract_z
Ta1 Ta 0.000 0.000 0.000
Fe1 Fe 0.500 0.000 0.500
Cu1 Cu 0.000 0.500 0.500
Si1 Si 0.500 0.500 0.000
```

***

Entry 5:
A geometry-optimized TaFeCuSi structure. Source: Alexandria via LeMat-Bulk, functional PBE.

Summary:
- E_form (uncorrected) (meV per atom) = -152
- size of the total moment (μB per formula unit) = 0.000
- E above lowest polymorph (eV per atom) = 0.032

Cell and atoms, written as CIF:
```
data_TaFeCuSi
_chemical_formula_sum 'Ta1 Fe1 Cu1 Si1'
_space_group_name_H-M_alt 'P 4 m m'
_space_group_IT_number 99
_cell_length_a 2.814
_cell_length_b 2.814
_cell_length_c 6.581
_cell_angle_alpha 90.00
_cell_angle_beta 90.00
_cell_angle_gamma 90.00
loop_
_space_group_symop_operation_xyz
'x,y,z'
'-y,x,z'
'-x,-y,z'
'y,-x,z'
'-x,y,z'
'y,x,z'
'x,-y,z'
'-y,-x,z'
loop_
_atom_site_label
_atom_site_type_symbol
_atom_site_fract_x
_atom_site_fract_y
_atom_site_fract_z
Ta1 Ta 0.000 0.000 0.000
Fe1 Fe 0.500 0.500 0.721
Cu1 Cu 0.500 0.500 0.306
Si1 Si 0.000 0.000 0.541
```

***

Entry 6:
A geometry-optimized TaFeCuSi structure. Source: Alexandria via LeMat-Bulk, functional PBE.

Summary:
- E_form (uncorrected) (meV per atom) = -184
- size of the total moment (μB per formula unit) = 0.000
- E above lowest polymorph (eV per atom) = 0.000

Cell and atoms, written as CIF:
```
data_TaFeCuSi
_chemical_formula_sum 'Ta3 Fe3 Cu3 Si3'
_space_group_name_H-M_alt 'R 3 m'
_space_group_IT_number 160
_space_group_name_Hall 'R 3 -2"'
_cell_length_a 3.9501
_cell_length_b 3.9501
_cell_length_c 12.5293
_cell_angle_alpha 90.00
_cell_angle_beta 90.00
_cell_angle_gamma 120.00
loop_
_atom_site_label
_atom_site_type_symbol
_atom_site_fract_x
_atom_site_fract_y
_atom_site_fract_z
Ta1 Ta 0.0000 0.0000 0.0000
Fe1 Fe 0.0000 0.0000 0.4224
Cu1 Cu 0.0000 0.0000 0.2133
Si1 Si 0.0000 0.0000 0.7854
```

***

Entry 7:
A geometry-optimized TaFeCuSi structure. Source: Alexandria via LeMat-Bulk, functional PBE.

Summary:
- E_form (uncorrected) (meV per atom) = -42
- size of the total moment (μB per formula unit) = 1.326
- E above lowest polymorph (eV per atom) = 0.142

Cell and atoms, written as CIF:
```
data_TaFeCuSi
_chemical_formula_sum 'Ta2 Fe2 Cu2 Si2'
_space_group_name_H-M_alt 'C 1 m 1'
_space_group_IT_number 8
_cell_length_a 8.685
_cell_length_b 2.808
_cell_length_c 4.589
_cell_angle_alpha 90.00
_cell_angle_beta 103.74
_cell_angle_gamma 90.00
loop_
_space_group_symop_operation_xyz
'x,y,z'
'x,-y,z'
'x+1/2,y+1/2,z'
'x+1/2,-y+1/2,z'
loop_
_atom_site_label
_atom_site_type_symbol
_atom_site_fract_x
_atom_site_fract_y
_atom_site_fract_z
Ta1 Ta 0.000 0.000 0.000
Fe1 Fe 0.238 0.000 0.765
Cu1 Cu 0.268 0.500 0.294
Si1 Si 0.017 0.500 0.507
```

***

Entry 8:
A geometry-optimized TaFeCuSi structure. Source: Alexandria via LeMat-Bulk, functional PBE.

Summary:
- E_form (uncorrected) (meV per atom) = -155
- size of the total moment (μB per formula unit) = 0.000
- E above lowest polymorph (eV per atom) = 0.029

Cell and atoms, written as CIF:
```
data_TaFeCuSi
_chemical_formula_sum 'Ta4 Fe4 Cu4 Si4'
_space_group_name_H-M_alt 'F 2 2 2'
_space_group_IT_number 22
_space_group_name_Hall 'F 2 2'
_cell_length_a 5.823
_cell_length_b 5.835
_cell_length_c 6.116
_cell_angle_alpha 90.00
_cell_angle_beta 90.00
_cell_angle_gamma 90.00
loop_
_atom_site_label
_atom_site_type_symbol
_atom_site_fract_x
_atom_site_fract_y
_atom_site_fract_z
Ta1 Ta 0.000 0.000 0.000
Fe1 Fe 0.250 0.250 0.750
Cu1 Cu 0.250 0.250 0.250
Si1 Si 0.000 0.000 0.500
```

***

Entry 9:
A geometry-optimized TaFeCuSi structure. Source: Alexandria via LeMat-Bulk, functional PBE.

Summary:
- E_form (uncorrected) (meV per atom) = -95
- size of the total moment (μB per formula unit) = 2.048
- E above lowest polymorph (eV per atom) = 0.089

Cell and atoms, written as CIF:
```
data_TaFeCuSi
_chemical_formula_sum 'Ta1 Fe1 Cu1 Si1'
_space_group_name_H-M_alt 'P 1 m 1'
_space_group_IT_number 6
_cell_length_a 2.770
_cell_length_b 3.959
_cell_length_c 5.091
_cell_angle_alpha 90.00
_cell_angle_beta 101.95
_cell_angle_gamma 90.00
loop_
_space_group_symop_operation_xyz
'x,y,z'
'x,-y,z'
loop_
_atom_site_label
_atom_site_type_symbol
_atom_site_fract_x
_atom_site_fract_y
_atom_site_fract_z
Ta1 Ta 0.000 0.000 0.000
Fe1 Fe 0.720 0.500 0.299
Cu1 Cu 0.409 0.500 0.764
Si1 Si 0.348 0.000 0.507
```

***

Entry 10:
A geometry-optimized TaFeCuSi structure. Source: Alexandria via LeMat-Bulk, functional PBE.

Summary:
- E_form (uncorrected) (meV per atom) = -65
- size of the total moment (μB per formula unit) = 1.295
- E above lowest polymorph (eV per atom) = 0.120

Cell and atoms, written as CIF:
```
data_TaFeCuSi
_chemical_formula_sum 'Ta2 Fe2 Cu2 Si2'
_space_group_name_H-M_alt 'I m m 2'
_space_group_IT_number 44
_cell_length_a 3.025
_cell_length_b 4.226
_cell_length_c 8.464
_cell_angle_alpha 90.00
_cell_angle_beta 90.00
_cell_angle_gamma 90.00
loop_
_space_group_symop_operation_xyz
'x,y,z'
'-x,-y,z'
'-x,y,z'
'x,-y,z'
'x+1/2,y+1/2,z+1/2'
'-x+1/2,-y+1/2,z+1/2'
'-x+1/2,y+1/2,z+1/2'
'x+1/2,-y+1/2,z+1/2'
loop_
_atom_site_label
_atom_site_type_symbol
_atom_site_fract_x
_atom_site_fract_y
_atom_site_fract_z
Ta1 Ta 0.000 0.000 0.000
Fe1 Fe 0.000 0.000 0.473
Cu1 Cu 0.000 0.500 0.229
Si1 Si 0.000 0.500 0.761
```